1.
Below is CrTeSe after structural relaxation, with properties calculated at the PBEsol level.

```
CrTeSe
1.0
3.044 0.000 0.000
0.000 3.044 0.000
-1.522 -1.522 6.268
Se Te Cr
1 1 1
Direct
0.618 0.618 0.237
0.372 0.372 0.745
0.009 0.009 0.018
```

**Total magnetic moment**: 0.00 μB/cell
**Excess energy over the best structure of this formula in the dataset**: 268.8 meV/atom
**Energy relative to the elements, uncorrected**: -27 meV/atom
**Electronic total energy**: -17.7 eV per cell
**Space-group type**: No. 107

2.
Below is Cr4TeSe after structural relaxation, with properties calculated at the PBEsol level.

```
Cr4TeSe
1.0
4.898 0.000 0.000
2.449 4.242 0.000
2.449 1.414 3.999
Cr Se Te
4 1 1
Direct
0.132 0.623 0.623
0.623 0.623 0.132
0.623 0.623 0.623
0.623 0.132 0.623
0.250 0.250 0.250
0.000 0.000 0.000
```

**Total magnetic moment**: 0.00 μB/cell
**Energy relative to the elements, uncorrected**: 585 meV/atom
**Electronic total energy**: -44.8 eV per cell
**Space-group type**: No. 216

3.
Below is CrTe2Se after structural relaxation, with properties calculated at the PBEsol level.

```
CrTe2Se
1.0
-1.256 2.841 1.788
0.345 -3.876 2.809
5.643 2.397 0.155
Te Se Cr
2 1 1
Direct
0.020 0.041 0.959
0.830 0.660 0.298
0.180 0.360 0.625
0.470 0.940 0.618
```

**Total magnetic moment**: 2.24 μB/cell
**Energy relative to the elements, uncorrected**: -37 meV/atom
**Electronic total energy**: -21.3 eV per cell
**Space-group type**: No. 8

4.
Below is CrTe2Se after structural relaxation, with properties calculated at the PBEsol level.

```
CrTe2Se
1.0
-2.883 -0.674 -0.839
0.638 -3.002 0.220
-2.562 0.095 8.725
Cr Te Se
1 2 1
Direct
0.500 0.500 0.000
0.000 0.000 0.821
0.000 0.000 0.179
0.500 0.500 0.500
```

**Total magnetic moment**: 0.00 μB/cell
**Energy relative to the elements, uncorrected**: 228 meV/atom
**Electronic total energy**: -20.2 eV per cell
**Space-group type**: No. 123

5.
Below is Cr3Te2Se2 after structural relaxation, with properties calculated at the PBEsol level.

```
Cr3Te2Se2
1.0
-2.474 1.212 -2.642
3.485 -3.009 -4.643
-3.639 -4.101 4.285
Cr Te Se
3 2 2
Direct
0.739 0.776 0.478
0.261 0.224 0.522
0.000 0.000 0.000
0.630 0.302 0.260
0.370 0.698 0.740
0.125 0.804 0.251
0.875 0.196 0.749
```

**Total magnetic moment**: 9.72 μB/cell
**Energy relative to the elements, uncorrected**: -264 meV/atom
**Electronic total energy**: -47.3 eV per cell
**Space-group type**: No. 12

6.
Below is CrTe2Se after structural relaxation, with properties calculated at the PBEsol level.

```
CrTe2Se
1.0
3.846 0.000 0.000
1.923 3.330 0.000
1.923 1.110 8.316
Te Se Cr
2 1 1
Direct
0.893 0.893 0.322
0.107 0.107 0.678
0.000 0.000 0.000
0.500 0.500 0.500
```

**Total magnetic moment**: 2.98 μB/cell
**Energy relative to the elements, uncorrected**: 83 meV/atom
**Electronic total energy**: -20.8 eV per cell
**Space-group type**: No. 166